Entry 1:
# PBE Tm3B2Ir5, relaxed
data_Tm3B2Ir5
_chemical_formula_sum 'Tm6 B4 Ir10'
_symmetry_space_group_name_H-M 'P 1'
_symmetry_Int_Tables_number 1
_cell_length_a 9.8542
_cell_length_b 9.8542
_cell_length_c 3.1990
_cell_angle_alpha 90.00
_cell_angle_beta 90.00
_cell_angle_gamma 90.00
loop_
_symmetry_equiv_pos_as_xyz
'x,y,z'
loop_
_atom_site_label
_atom_site_type_symbol
_atom_site_fract_x
_atom_site_fract_y
_atom_site_fract_z
_atom_site_occupancy
Tm1 Tm 0.0000 0.0000 0.0000 1
Tm2 Tm 0.1770 0.3230 0.0000 1
Tm3 Tm 0.3230 0.8230 0.0000 1
Tm4 Tm 0.5000 0.5000 0.0000 1
Tm5 Tm 0.6770 0.1770 0.0000 1
Tm6 Tm 0.8230 0.6770 0.0000 1
B1 B 0.1200 0.6200 0.0000 1
B2 B 0.3800 0.1200 0.0000 1
B3 B 0.6200 0.8800 0.0000 1
B4 B 0.8800 0.3800 0.0000 1
Ir1 Ir 0.0000 0.5000 0.5000 1
Ir2 Ir 0.0699 0.7700 0.5000 1
Ir3 Ir 0.2300 0.0699 0.5000 1
Ir4 Ir 0.2700 0.5699 0.5000 1
Ir5 Ir 0.4301 0.2700 0.5000 1
Ir6 Ir 0.5000 0.0000 0.5000 1
Ir7 Ir 0.5699 0.7300 0.5000 1
Ir8 Ir 0.7300 0.4301 0.5000 1
Ir9 Ir 0.7700 0.9301 0.5000 1
Ir10 Ir 0.9301 0.2300 0.5000 1
# ΔE_f = -0.804 eV per atom
# Energy = -158.220 eV per cell
# Total magnetic moment = 0.00 μB per atom
# Space-group type = P4/mbm, No. 127

Entry 2:
# PBE UB2Ir2, relaxed
data_UB2Ir2
_chemical_formula_sum 'U2 B4 Ir4'
_symmetry_space_group_name_H-M 'P 1'
_symmetry_Int_Tables_number 1
_cell_length_a 3.9688
_cell_length_b 3.8181
_cell_length_c 8.8419
_cell_angle_alpha 90.00
_cell_angle_beta 93.33
_cell_angle_gamma 90.00
loop_
_symmetry_equiv_pos_as_xyz
'x,y,z'
loop_
_atom_site_label
_atom_site_type_symbol
_atom_site_fract_x
_atom_site_fract_y
_atom_site_fract_z
_atom_site_occupancy
U1 U 0.2212 0.2500 0.2491 1
U2 U 0.7788 0.7500 0.7509 1
B1 B 0.1673 0.7500 0.0048 1
B2 B 0.2688 0.2500 0.6426 1
B3 B 0.7312 0.7500 0.3574 1
B4 B 0.8327 0.2500 0.9952 1
Ir1 Ir 0.2495 0.7500 0.5005 1
Ir2 Ir 0.3237 0.2500 0.8988 1
Ir3 Ir 0.6763 0.7500 0.1012 1
Ir4 Ir 0.7505 0.2500 0.4995 1
# ΔE_f = -0.458 eV per atom
# Energy = -89.313 eV per cell
# Total magnetic moment = 0.00 μB per atom
# Space-group type = P2_1/m, No. 11

Entry 3:
# PBE UB2Ir5, relaxed
data_UB2Ir5
_chemical_formula_sum 'U2 B4 Ir10'
_symmetry_space_group_name_H-M 'P 1'
_symmetry_Int_Tables_number 1
_cell_length_a 3.8624
_cell_length_b 6.4491
_cell_length_c 9.0381
_cell_angle_alpha 90.00
_cell_angle_beta 90.00
_cell_angle_gamma 90.00
loop_
_symmetry_equiv_pos_as_xyz
'x,y,z'
loop_
_atom_site_label
_atom_site_type_symbol
_atom_site_fract_x
_atom_site_fract_y
_atom_site_fract_z
_atom_site_occupancy
U1 U 0.0000 0.0000 0.0000 1
U2 U 0.5000 0.5000 0.5000 1
B1 B 0.0000 0.5000 0.2410 1
B2 B 0.0000 0.5000 0.7590 1
B3 B 0.5000 0.0000 0.2590 1
B4 B 0.5000 0.0000 0.7410 1
Ir1 Ir 0.0000 0.2138 0.3522 1
Ir2 Ir 0.0000 0.2138 0.6478 1
Ir3 Ir 0.0000 0.5000 0.0000 1
Ir4 Ir 0.0000 0.7862 0.3522 1
Ir5 Ir 0.0000 0.7862 0.6478 1
Ir6 Ir 0.5000 0.0000 0.5000 1
Ir7 Ir 0.5000 0.2862 0.1478 1
Ir8 Ir 0.5000 0.2862 0.8522 1
Ir9 Ir 0.5000 0.7138 0.1478 1
Ir10 Ir 0.5000 0.7138 0.8522 1
# ΔE_f = -0.380 eV per atom
# Energy = -143.974 eV per cell
# Total magnetic moment = 0.00 μB per atom
# Space-group type = Immm, No. 71

Q: Which value of ΔE_f does entry 1 give?
A: -0.804 eV per atom